Entry 1:
A plane-wave DFT calculation with PBE was carried out for a geometry-optimized LiLa2Mg16 structure.

Calculated values
Density of states at the Fermi level ... 8.6 states/eV/f.u.
Crystal system ... trigonal
DFT formation energy ... -0.073 eV/atom
Electronic total energy ... -2.0348 eV/atom

Cell: 7.841 7.841 7.841 Å, 82.51 82.51 82.51°
Atoms (fractional coordinates):
1 Li 0.000 0.000 0.000
2 La 0.431 0.431 0.431
3 La 0.764 0.764 0.764
4 Mg 0.097 0.097 0.602
5 Mg 0.097 0.602 0.097
6 Mg 0.098 0.398 0.798
7 Mg 0.098 0.798 0.398
8 Mg 0.195 0.195 0.195
9 Mg 0.257 0.747 0.747
10 Mg 0.398 0.098 0.798
11 Mg 0.398 0.798 0.098
12 Mg 0.449 0.449 0.940
13 Mg 0.449 0.940 0.449
14 Mg 0.602 0.097 0.097
15 Mg 0.747 0.257 0.747
16 Mg 0.747 0.747 0.257
17 Mg 0.798 0.098 0.398
18 Mg 0.798 0.398 0.098
19 Mg 0.940 0.449 0.449

Entry 2:
A plane-wave DFT calculation with PBE was carried out for a geometry-optimized Li2La3Mg5 structure.

Calculated values
Density of states at the Fermi level ... 11.5 states/eV/f.u.
Crystal system ... tetragonal
DFT formation energy ... -0.057 eV/atom
Electronic total energy ... -2.7156 eV/atom

Cell: 11.031 11.031 4.483 Å, 90.00 90.00 90.00°
Atoms (fractional coordinates):
1 Li 0.112 0.388 0.000
2 Li 0.388 0.888 0.000
3 Li 0.612 0.112 0.000
4 Li 0.888 0.612 0.000
5 La 0.000 0.000 0.000
6 La 0.182 0.682 0.000
7 La 0.318 0.182 0.000
8 La 0.500 0.500 0.000
9 La 0.682 0.818 0.000
10 La 0.818 0.318 0.000
11 Mg 0.000 0.500 0.500
12 Mg 0.059 0.220 0.500
13 Mg 0.220 0.941 0.500
14 Mg 0.280 0.441 0.500
15 Mg 0.441 0.720 0.500
16 Mg 0.500 0.000 0.500
17 Mg 0.559 0.280 0.500
18 Mg 0.720 0.559 0.500
19 Mg 0.780 0.059 0.500
20 Mg 0.941 0.780 0.500

Entry 3:
A plane-wave DFT calculation with PBE was carried out for a geometry-optimized LiLaMg4 structure.

Calculated values
Density of states at the Fermi level ... 4.5 states/eV/f.u.
Crystal system ... orthorhombic
DFT formation energy ... -0.054 eV/atom
Electronic total energy ... -2.2570 eV/atom
Relative energy among the computed polymorphs ... 0.013 eV/atom

Cell: 8.761 4.421 7.780 Å, 90.00 90.00 90.00°
Atoms (fractional coordinates):
1 Li 0.250 0.000 0.203
2 Li 0.750 0.000 0.797
3 La 0.250 0.000 0.615
4 La 0.750 0.000 0.385
5 Mg 0.000 0.000 0.000
6 Mg 0.053 0.500 0.304
7 Mg 0.250 0.500 0.945
8 Mg 0.447 0.500 0.304
9 Mg 0.500 0.000 0.000
10 Mg 0.553 0.500 0.696
11 Mg 0.750 0.500 0.055
12 Mg 0.947 0.500 0.696

Entry 4:
A plane-wave DFT calculation with PBE was carried out for a geometry-optimized LiLaMg2 structure.

Calculated values
Density of states at the Fermi level ... 3.5 states/eV/f.u.
Crystal system ... trigonal
DFT formation energy ... 0.035 eV/atom
Electronic total energy ... -2.4726 eV/atom
Relative energy among the computed polymorphs ... 0.113 eV/atom

Cell: 11.181 11.181 11.181 Å, 17.12 17.12 17.12°
Atoms (fractional coordinates):
1 Li 0.000 0.000 0.000
2 La 0.500 0.500 0.500
3 Mg 0.257 0.257 0.257
4 Mg 0.743 0.743 0.743

Entry 5:
A plane-wave DFT calculation with PBE was carried out for a geometry-optimized Li3LaMg structure.

Calculated values
Density of states at the Fermi level ... 5.1 states/eV/f.u.
Crystal system ... cubic
DFT formation energy ... 1.046 eV/atom
Electronic total energy ... -1.4068 eV/atom
Relative energy among the computed polymorphs ... 0.738 eV/atom

Cell: 5.579 5.579 5.579 Å, 90.00 90.00 90.00°
Atoms (fractional coordinates):
1 Li 0.000 0.000 0.500
2 Li 0.000 0.500 0.000
3 Li 0.500 0.000 0.000
4 La 0.000 0.000 0.000
5 Mg 0.500 0.500 0.500

Entry 6:
A plane-wave DFT calculation with PBE was carried out for a geometry-optimized LiLaMg2 structure.

Calculated values
Density of states at the Fermi level ... 3.9 states/eV/f.u.
Crystal system ... orthorhombic
DFT formation energy ... 0.041 eV/atom
Electronic total energy ... -2.4665 eV/atom
Relative energy among the computed polymorphs ... 0.119 eV/atom

Cell: 5.586 5.586 3.587 Å, 90.00 90.00 90.16°
Atoms (fractional coordinates):
1 Li 0.000 0.000 0.000
2 La 0.500 0.500 0.000
3 Mg 0.000 0.500 0.500
4 Mg 0.500 0.000 0.500

Entry 7:
A plane-wave DFT calculation with PBE was carried out for a geometry-optimized Li5LaMg4 structure.

Calculated values
Density of states at the Fermi level ... 6.0 states/eV/f.u.
Crystal system ... tetragonal
DFT formation energy ... -0.017 eV/atom
Electronic total energy ... -2.1041 eV/atom

Cell: 3.490 3.490 18.015 Å, 90.00 90.00 90.00°
Atoms (fractional coordinates):
1 Li 0.000 0.000 0.000
2 Li 0.000 0.000 0.184
3 Li 0.000 0.000 0.367
4 Li 0.000 0.000 0.633
5 Li 0.000 0.000 0.816
6 La 0.500 0.500 0.500
7 Mg 0.500 0.500 0.093
8 Mg 0.500 0.500 0.278
9 Mg 0.500 0.500 0.722
10 Mg 0.500 0.500 0.907

Entry 8:
A plane-wave DFT calculation with PBE was carried out for a geometry-optimized LiLaMg2 structure.

Calculated values
Density of states at the Fermi level ... 3.0 states/eV/f.u.
Crystal system ... orthorhombic
DFT formation energy ... 0.050 eV/atom
Electronic total energy ... -2.4577 eV/atom
Relative energy among the computed polymorphs ... 0.128 eV/atom

Cell: 3.615 5.329 5.497 Å, 90.00 90.00 90.00°
Atoms (fractional coordinates):
1 Li 0.000 0.000 0.000
2 La 0.500 0.500 0.000
3 Mg 0.000 0.500 0.500
4 Mg 0.500 0.000 0.500

Entry 9:
A plane-wave DFT calculation with PBE was carried out for a geometry-optimized LiLa5Mg2 structure.

Calculated values
Density of states at the Fermi level ... 11.6 states/eV/f.u.
Crystal system ... tetragonal
DFT formation energy ... 0.018 eV/atom
Electronic total energy ... -3.7000 eV/atom

Cell: 6.969 6.969 6.969 Å, 112.75 112.75 103.10°
Atoms (fractional coordinates):
1 Li 0.000 0.000 0.000
2 La 0.000 0.000 0.500
3 La 0.000 0.500 0.000
4 La 0.500 0.000 0.000
5 La 0.500 0.500 0.000
6 La 0.500 0.500 0.500
7 Mg 0.000 0.500 0.500
8 Mg 0.500 0.000 0.500

Entry 10:
A plane-wave DFT calculation with PBE was carried out for a geometry-optimized LiLa6Mg structure.

Calculated values
Density of states at the Fermi level ... 8.9 states/eV/f.u.
Crystal system ... monoclinic
DFT formation energy ... 0.021 eV/atom
Electronic total energy ... -4.1130 eV/atom

Cell: 6.654 6.654 6.737 Å, 94.58 94.58 118.42°
Atoms (fractional coordinates):
1 Li 0.000 0.000 0.000
2 La 0.067 0.640 0.240
3 La 0.265 0.265 0.439
4 La 0.360 0.933 0.760
5 La 0.640 0.067 0.240
6 La 0.735 0.735 0.561
7 La 0.933 0.360 0.760
8 Mg 0.500 0.500 0.000

Question: What is the DFT formation energy in the eighth record?
Answer: 0.050 eV/atom

Question: Among the records above, which one has the highest DFT formation energy?
Answer: Li3LaMg

Question: Number 3 is which compound?
Answer: LiLaMg4

Question: Among the records above, which one has the lowest density of states at the Fermi level?
Answer: number 8